# 1
Entry from Alexandria via LeMat-Bulk: BaLaNdEu after structural relaxation (PBE-GGA).

abc: 6.216 6.216 6.216
angles: 60.00 60.00 60.00
Atoms (fractional coordinates):
Ba1 0.000 0.000 0.000
La1 0.500 0.500 0.500
Nd1 0.250 0.250 0.250
Eu1 0.750 0.750 0.750

Properties
**Energy relative to the elements**: 0.19 eV/atom
**Total DFT energy (no corrections)**: -5.2787 eV per atom

---

# 2
Entry from Alexandria via LeMat-Bulk: FeCuRh6 after structural relaxation (PBE-GGA).

abc: 3.813 3.813 7.619
angles: 90.00 90.00 90.00
Atoms (fractional coordinates):
Fe1 0.000 0.000 0.000
Cu1 0.000 0.000 0.500
Rh1 0.000 0.500 0.248
Rh2 0.000 0.500 0.752
Rh3 0.500 0.000 0.248
Rh4 0.500 0.000 0.752
Rh5 0.500 0.500 0.000
Rh6 0.500 0.500 0.500

Properties
**Energy relative to the elements**: 0.01 eV/atom
**Total DFT energy (no corrections)**: -7.0694 eV per atom

---

# 3
Entry from Alexandria via LeMat-Bulk: TlAu2 after structural relaxation (PBE-GGA).

abc: 5.966 5.966 4.736
angles: 90.00 90.00 55.95
Atoms (fractional coordinates):
Tl1 0.215 0.785 0.750
Tl2 0.785 0.215 0.250
Au1 0.159 0.428 0.250
Au2 0.428 0.159 0.750
Au3 0.572 0.841 0.250
Au4 0.841 0.572 0.750

Properties
**Excess energy over the best structure of this formula in the dataset**: 1.3 kJ/mol of formula units
**Energy relative to the elements**: 0.01 eV/atom
**Total DFT energy (no corrections)**: -2.9672 eV per atom

---

# 4
Entry from Alexandria via LeMat-Bulk: Ti5VSn2 after structural relaxation (PBE-GGA).

abc: 6.982 6.982 6.982
angles: 139.77 139.77 58.20
Atoms (fractional coordinates):
Ti1 0.000 0.000 0.000
Ti2 0.114 0.614 0.500
Ti3 0.386 0.886 0.500
Ti4 0.614 0.114 0.500
Ti5 0.886 0.386 0.500
V1 0.500 0.500 0.000
Sn1 0.251 0.251 0.000
Sn2 0.749 0.749 0.000

Properties
**Excess energy over the best structure of this formula in the dataset**: 0.0 kJ/mol of formula units
**Energy relative to the elements**: -0.21 eV/atom
**Total DFT energy (no corrections)**: -7.2839 eV per atom

---

# 5
Entry from Alexandria via LeMat-Bulk: Ac2SbTe after structural relaxation (PBE-GGA).

abc: 8.258 8.258 8.258
angles: 33.59 33.59 33.59
Atoms (fractional coordinates):
Ac1 0.247 0.247 0.247
Ac2 0.753 0.753 0.753
Sb1 0.500 0.500 0.500
Te1 0.000 0.000 0.000

Properties
**Excess energy over the best structure of this formula in the dataset**: 0.6 kJ/mol of formula units
**Total DFT energy (no corrections)**: -5.2704 eV per atom

---

# 6
Entry from Alexandria via LeMat-Bulk: NaMgCd3 after structural relaxation (PBE-GGA).

abc: 5.444 5.444 5.444
angles: 90.00 90.00 90.00
Atoms (fractional coordinates):
Na1 0.000 0.000 0.000
Mg1 0.500 0.500 0.500
Cd1 0.000 0.500 0.500
Cd2 0.500 0.000 0.500
Cd3 0.500 0.500 0.000

Properties
**Excess energy over the best structure of this formula in the dataset**: 121.4 kJ/mol of formula units
**Energy relative to the elements**: 0.21 eV/atom
**Total DFT energy (no corrections)**: -0.9177 eV per atom

---

# 7
Entry from Alexandria via LeMat-Bulk: VCuCl3 after structural relaxation (PBE-GGA).

abc: 4.739 4.739 4.739
angles: 90.00 90.00 90.00
Atoms (fractional coordinates):
V1 0.000 0.000 0.000
Cu1 0.500 0.500 0.500
Cl1 0.000 0.500 0.500
Cl2 0.500 0.000 0.500
Cl3 0.500 0.500 0.000

Properties
**Excess energy over the best structure of this formula in the dataset**: 153.4 kJ/mol of formula units
**Total DFT energy (no corrections)**: -3.7947 eV per atom

---

# 8
Entry from Alexandria via LeMat-Bulk: Ni2HgIr after structural relaxation (PBE-GGA).

abc: 4.357 4.357 4.357
angles: 60.00 60.00 60.00
Atoms (fractional coordinates):
Ni1 0.000 0.000 0.000
Ni2 0.250 0.250 0.250
Hg1 0.500 0.500 0.500
Ir1 0.750 0.750 0.750

Properties
**Energy relative to the elements**: 0.45 eV/atom
**Total DFT energy (no corrections)**: -4.7299 eV per atom

---

# 9
Entry from Alexandria via LeMat-Bulk: LiMgBeIn after structural relaxation (PBE-GGA).

abc: 4.530 4.530 4.530
angles: 60.00 60.00 60.00
Atoms (fractional coordinates):
Li1 0.000 0.000 0.000
Mg1 0.250 0.250 0.250
Be1 0.500 0.500 0.500
In1 0.750 0.750 0.750

Properties
**Energy relative to the elements**: 0.05 eV/atom
**Total DFT energy (no corrections)**: -2.4469 eV per atom

---

# 10
Entry from Alexandria via LeMat-Bulk: SrAcCuAu after structural relaxation (PBE-GGA).

abc: 4.701 6.213 6.213
angles: 40.56 90.00 90.00
Atoms (fractional coordinates):
Sr1 0.000 0.000 0.000
Ac1 0.500 0.276 0.276
Cu1 0.000 0.713 0.713
Au1 0.500 0.569 0.569

Properties
**Excess energy over the best structure of this formula in the dataset**: 0.0 kJ/mol of formula units
**Energy relative to the elements**: -0.45 eV/atom
**Total DFT energy (no corrections)**: -3.7413 eV per atom

---

# 11
Entry from Alexandria via LeMat-Bulk: Rb3BeZn after structural relaxation (PBE-GGA).

abc: 6.700 6.700 6.700
angles: 90.00 90.00 90.00
Atoms (fractional coordinates):
Rb1 0.000 0.000 0.500
Rb2 0.000 0.500 0.000
Rb3 0.500 0.000 0.000
Be1 0.000 0.000 0.000
Zn1 0.500 0.500 0.500

Properties
**Excess energy over the best structure of this formula in the dataset**: 0.0 kJ/mol of formula units
**Energy relative to the elements**: 0.68 eV/atom
**Total DFT energy (no corrections)**: -0.9029 eV per atom

---

# 12
Entry from Alexandria via LeMat-Bulk: LaCdIn after structural relaxation (PBE-GGA).

abc: 3.486 3.486 8.154
angles: 90.00 90.00 120.00
Atoms (fractional coordinates):
La1 0.000 0.000 0.000
Cd1 0.667 0.333 0.346
In1 0.333 0.667 0.652

Properties
**Energy relative to the elements**: -0.11 eV/atom
**Total DFT energy (no corrections)**: -2.9679 eV per atom

---

# 13
Entry from Alexandria via LeMat-Bulk: Al2NiOs after structural relaxation (PBE-GGA).

abc: 4.235 4.235 4.235
angles: 60.00 60.00 60.00
Atoms (fractional coordinates):
Al1 0.000 0.000 0.000
Al2 0.250 0.250 0.250
Ni1 0.750 0.750 0.750
Os1 0.500 0.500 0.500

Properties
**Energy relative to the elements**: -0.15 eV/atom
**Total DFT energy (no corrections)**: -6.2744 eV per atom

---

# 14
Entry from Alexandria via LeMat-Bulk: Sr2Zn7Ni after structural relaxation (PBE-GGA).

abc: 4.205 4.205 11.361
angles: 90.00 90.00 90.00
Atoms (fractional coordinates):
Sr1 0.000 0.500 0.243
Sr2 0.500 0.000 0.757
Zn1 0.000 0.000 0.000
Zn2 0.000 0.000 0.500
Zn3 0.000 0.500 0.640
Zn4 0.000 0.500 0.875
Zn5 0.500 0.000 0.125
Zn6 0.500 0.000 0.360
Zn7 0.500 0.500 0.500
Ni1 0.500 0.500 0.000

Properties
**Energy relative to the elements**: -0.18 eV/atom
**Total DFT energy (no corrections)**: -1.9893 eV per atom

---

# 15
Entry from Alexandria via LeMat-Bulk: La2TlCdOs after structural relaxation (PBE-GGA).

abc: 5.445 5.445 5.375
angles: 90.00 90.00 90.00
Atoms (fractional coordinates):
La1 0.000 0.500 0.000
La2 0.500 0.000 0.000
Tl1 0.000 0.000 0.500
Cd1 0.500 0.500 0.500
Os1 0.500 0.500 0.000

Properties
**Energy relative to the elements**: -0.10 eV/atom
**Total DFT energy (no corrections)**: -4.9697 eV per atom

---

# 16
Entry from Alexandria via LeMat-Bulk: Ce6Os2Ru after structural relaxation (PBE-GGA).

abc: 6.024 7.627 11.122
angles: 90.00 122.54 90.00
Atoms (fractional coordinates):
Ce1 0.066 0.204 0.436
Ce2 0.066 0.296 0.936
Ce3 0.311 0.637 0.448
Ce4 0.311 0.863 0.948
Ce5 0.382 0.056 0.243
Ce6 0.382 0.444 0.743
Ce7 0.618 0.556 0.257
Ce8 0.618 0.944 0.757
Ce9 0.689 0.137 0.052
Ce10 0.689 0.363 0.552
Ce11 0.934 0.704 0.064
Ce12 0.934 0.796 0.564
Os1 0.086 0.095 0.717
Os2 0.086 0.405 0.217
Os3 0.914 0.595 0.783
Os4 0.914 0.905 0.283
Ru1 0.500 0.000 0.500
Ru2 0.500 0.500 0.000

Properties
**Excess energy over the best structure of this formula in the dataset**: 38.9 kJ/mol of formula units
**Energy relative to the elements**: -0.17 eV/atom
**Total DFT energy (no corrections)**: -7.6503 eV per atom

---

# 17
Entry from Alexandria via LeMat-Bulk: Tl2Sn2Hg3 after structural relaxation (PBE-GGA).

abc: 9.624 9.624 14.478
angles: 120.13 120.13 20.72
Atoms (fractional coordinates):
Tl1 0.131 0.131 0.443
Tl2 0.215 0.215 0.832
Tl3 0.785 0.785 0.168
Tl4 0.869 0.869 0.557
Sn1 0.067 0.067 0.129
Sn2 0.480 0.480 0.228
Sn3 0.520 0.520 0.772
Sn4 0.933 0.933 0.871
Hg1 0.138 0.138 0.981
Hg2 0.286 0.286 0.676
Hg3 0.416 0.416 0.393
Hg4 0.584 0.584 0.607
Hg5 0.714 0.714 0.324
Hg6 0.862 0.862 0.019

Properties
**Excess energy over the best structure of this formula in the dataset**: 8.7 kJ/mol of formula units
**Energy relative to the elements**: 0.03 eV/atom
**Total DFT energy (no corrections)**: -1.9174 eV per atom